# 1
# PBE-GGA NdTlAu4, optimized geometry
# distance to the lowest polymorph of the same formula: 0 meV/atom
# formation energy: -0.4078 eV/atom
# VASP energy: -3.7817 eV per atom
data_NdTlAu4
_cell_length_a 4.8350
_cell_length_b 4.8350
_cell_length_c 6.8044
_cell_angle_alpha 90.00
_cell_angle_beta 90.00
_cell_angle_gamma 120.00
_symmetry_space_group_name_H-M 'P 6/m m m'
_symmetry_Int_Tables_number 191
_symmetry_space_group_name_Hall '-P 6 2'
loop_
_atom_site_label
_atom_site_fract_x
_atom_site_fract_y
_atom_site_fract_z
Nd1 0.0000 0.0000 0.0000
Tl1 0.0000 0.0000 0.5000
Au1 0.3333 0.6667 0.2435

---

# 2
# PBE-GGA NdTlAu2, optimized geometry
# distance to the lowest polymorph of the same formula: 0 meV/atom
# formation energy: -0.5641 eV/atom
# VASP energy: -3.9863 eV per atom
data_NdTlAu2
_cell_length_a 7.2423
_cell_length_b 7.2423
_cell_length_c 7.2423
_cell_angle_alpha 90.00
_cell_angle_beta 90.00
_cell_angle_gamma 90.00
_symmetry_space_group_name_H-M 'F m -3 m'
_symmetry_Int_Tables_number 225
_symmetry_space_group_name_Hall '-F 4 2 3'
loop_
_atom_site_label
_atom_site_fract_x
_atom_site_fract_y
_atom_site_fract_z
Nd1 0.0000 0.0000 0.0000
Tl1 0.0000 0.0000 0.5000
Au1 0.2500 0.2500 0.2500

---

# 3
# PBE-GGA Nd7Tl2Au2, optimized geometry
# formation energy: -0.2451 eV/atom
# VASP energy: -4.3053 eV per atom
data_Nd7Tl2Au2
_cell_length_a 8.5012
_cell_length_b 11.5578
_cell_length_c 7.4184
_cell_angle_alpha 90.00
_cell_angle_beta 90.00
_cell_angle_gamma 90.00
_symmetry_space_group_name_H-M 'C m m m'
_symmetry_Int_Tables_number 65
_symmetry_space_group_name_Hall '-C 2 2'
loop_
_atom_site_label
_atom_site_fract_x
_atom_site_fract_y
_atom_site_fract_z
Nd1 0.0000 0.0000 0.0000
Nd2 0.0000 0.5000 0.2514
Nd3 0.2500 0.2500 0.2649
Tl1 0.1737 0.0000 0.5000
Au1 0.0000 0.2884 0.0000

---

# 4
# PBE-GGA Nd3Tl2Au2, optimized geometry
# formation energy: -0.5752 eV/atom
# VASP energy: -4.2310 eV per atom
data_Nd3Tl2Au2
_cell_length_a 4.5877
_cell_length_b 22.7440
_cell_length_c 3.6447
_cell_angle_alpha 90.00
_cell_angle_beta 90.00
_cell_angle_gamma 90.00
_symmetry_space_group_name_H-M 'C m m m'
_symmetry_Int_Tables_number 65
_symmetry_space_group_name_Hall '-C 2 2'
loop_
_atom_site_label
_atom_site_fract_x
_atom_site_fract_y
_atom_site_fract_z
Nd1 0.0000 0.0000 0.0000
Nd2 0.0000 0.1669 0.0000
Tl1 0.0000 0.4205 0.5000
Au1 0.0000 0.2865 0.5000

---

# 5
# PBE-GGA Nd4Tl3Au, optimized geometry
# formation energy: -0.4809 eV/atom
# VASP energy: -4.1619 eV per atom
data_Nd4Tl3Au
_cell_length_a 3.7263
_cell_length_b 3.7263
_cell_length_c 16.5837
_cell_angle_alpha 90.00
_cell_angle_beta 90.00
_cell_angle_gamma 90.00
_symmetry_space_group_name_H-M 'P 4/m m m'
_symmetry_Int_Tables_number 123
_symmetry_space_group_name_Hall '-P 4 2'
loop_
_atom_site_label
_atom_site_fract_x
_atom_site_fract_y
_atom_site_fract_z
Nd1 0.0000 0.0000 0.1100
Nd2 0.0000 0.0000 0.3702
Tl1 0.5000 0.5000 0.2410
Tl2 0.5000 0.5000 0.5000
Au1 0.5000 0.5000 0.0000

---

# 6
# PBE-GGA Nd6Tl3Au, optimized geometry
# formation energy: -0.3291 eV/atom
# VASP energy: -4.2274 eV per atom
data_Nd6Tl3Au
_cell_length_a 9.4062
_cell_length_b 12.3119
_cell_length_c 5.4013
_cell_angle_alpha 90.00
_cell_angle_beta 90.00
_cell_angle_gamma 90.00
_symmetry_space_group_name_H-M 'P n n m'
_symmetry_Int_Tables_number 58
loop_
_symmetry_equiv_pos_as_xyz
'x,y,z'
'-x,-y,-z'
'-x,-y,z'
'x,y,-z'
'x+1/2,-y+1/2,-z+1/2'
'-x+1/2,y+1/2,z+1/2'
'-x+1/2,y+1/2,-z+1/2'
'x+1/2,-y+1/2,z+1/2'
loop_
_atom_site_label
_atom_site_fract_x
_atom_site_fract_y
_atom_site_fract_z
Nd1 0.0055 0.2430 0.0000
Nd2 0.1606 0.0851 0.5000
Nd3 0.1758 0.4157 0.5000
Tl1 0.0000 0.5000 0.0000
Tl2 0.1617 0.7388 0.5000
Au1 0.0000 0.0000 0.0000

---

# 7
# PBE-GGA Nd2TlAu, optimized geometry
# formation energy: -0.4046 eV/atom
# VASP energy: -4.1995 eV per atom
data_Nd2TlAu
_cell_length_a 4.0937
_cell_length_b 4.0937
_cell_length_c 25.9035
_cell_angle_alpha 90.00
_cell_angle_beta 90.00
_cell_angle_gamma 120.00
_symmetry_space_group_name_H-M 'R 3 m'
_symmetry_Int_Tables_number 160
_symmetry_space_group_name_Hall 'R 3 -2"'
loop_
_atom_site_label
_atom_site_fract_x
_atom_site_fract_y
_atom_site_fract_z
Nd1 0.0000 0.0000 0.0000
Nd2 0.0000 0.0000 0.1875
Tl1 0.0000 0.0000 0.7603
Au1 0.0000 0.0000 0.5939

---

# 8
# PBE-GGA NdTl2Au, optimized geometry
# distance to the lowest polymorph of the same formula: 109 meV/atom
# formation energy: -0.2495 eV/atom
# VASP energy: -3.4439 eV per atom
data_NdTl2Au
_cell_length_a 7.4121
_cell_length_b 7.4121
_cell_length_c 7.4121
_cell_angle_alpha 90.00
_cell_angle_beta 90.00
_cell_angle_gamma 90.00
_symmetry_space_group_name_H-M 'F m -3 m'
_symmetry_Int_Tables_number 225
_symmetry_space_group_name_Hall '-F 4 2 3'
loop_
_atom_site_label
_atom_site_fract_x
_atom_site_fract_y
_atom_site_fract_z
Nd1 0.0000 0.0000 0.0000
Tl1 0.2500 0.2500 0.2500
Au1 0.0000 0.0000 0.5000

---

# 9
# PBE-GGA Nd2TlAu3, optimized geometry
# formation energy: -0.6316 eV/atom
# VASP energy: -4.2540 eV per atom
data_Nd2TlAu3
_cell_length_a 7.1469
_cell_length_b 9.6891
_cell_length_c 16.9094
_cell_angle_alpha 90.00
_cell_angle_beta 90.00
_cell_angle_gamma 90.00
_symmetry_space_group_name_H-M 'F m m m'
_symmetry_Int_Tables_number 69
_symmetry_space_group_name_Hall '-F 2 2'
loop_
_atom_site_label
_atom_site_fract_x
_atom_site_fract_y
_atom_site_fract_z
Nd1 0.2419 0.0000 0.0000
Nd2 0.2500 0.2500 0.2500
Tl1 0.0000 0.0000 0.3341
Au1 0.0000 0.0000 0.1665
Au2 0.0000 0.2482 0.0822

---

# 10
# PBE-GGA Nd3Tl2Au, optimized geometry
# distance to the lowest polymorph of the same formula: 0 meV/atom
# formation energy: -0.5117 eV/atom
# VASP energy: -4.2306 eV per atom
data_Nd3Tl2Au
_cell_length_a 3.7077
_cell_length_b 3.7077
_cell_length_c 12.4141
_cell_angle_alpha 90.00
_cell_angle_beta 90.00
_cell_angle_gamma 90.00
_symmetry_space_group_name_H-M 'P 4/m m m'
_symmetry_Int_Tables_number 123
_symmetry_space_group_name_Hall '-P 4 2'
loop_
_atom_site_label
_atom_site_fract_x
_atom_site_fract_y
_atom_site_fract_z
Nd1 0.0000 0.0000 0.0000
Nd2 0.0000 0.0000 0.3516
Tl1 0.5000 0.5000 0.1751
Au1 0.5000 0.5000 0.5000

---

# 11
# PBE-GGA Nd5TlAu4, optimized geometry
# formation energy: -0.6862 eV/atom
# VASP energy: -4.6177 eV per atom
data_Nd5TlAu4
_cell_length_a 3.7222
_cell_length_b 3.7222
_cell_length_c 19.1171
_cell_angle_alpha 90.00
_cell_angle_beta 90.00
_cell_angle_gamma 90.00
_symmetry_space_group_name_H-M 'P 4/m m m'
_symmetry_Int_Tables_number 123
_symmetry_space_group_name_Hall '-P 4 2'
loop_
_atom_site_label
_atom_site_fract_x
_atom_site_fract_y
_atom_site_fract_z
Nd1 0.0000 0.0000 0.0000
Nd2 0.0000 0.0000 0.1944
Nd3 0.0000 0.0000 0.3876
Tl1 0.5000 0.5000 0.5000
Au1 0.5000 0.5000 0.0969
Au2 0.5000 0.5000 0.2921

---

# 12
# PBE-GGA Nd2TlAu, optimized geometry
# formation energy: -0.4320 eV/atom
# VASP energy: -4.2268 eV per atom
data_Nd2TlAu
_cell_length_a 4.0544
_cell_length_b 4.0544
_cell_length_c 26.1427
_cell_angle_alpha 90.00
_cell_angle_beta 90.00
_cell_angle_gamma 120.00
_symmetry_space_group_name_H-M 'R -3 m'
_symmetry_Int_Tables_number 166
_symmetry_space_group_name_Hall '-R 3 2"'
loop_
_atom_site_label
_atom_site_fract_x
_atom_site_fract_y
_atom_site_fract_z
Nd1 0.0000 0.0000 0.2408
Tl1 0.0000 0.0000 0.0000
Au1 0.0000 0.0000 0.5000